K2Cd2Pb | PBE | relaxed

Lattice parameters (Å, degrees): 4.085 4.085 22.962 90.00 90.00 90.00
Space group I4/mmm (No. 139)
Unique sites:
K 0.000 0.000 0.106 (multiplicity 4)
Cd 0.000 0.500 0.250 (multiplicity 4)
Pb 0.000 0.000 0.500 (multiplicity 2)

Values from the calculation:
formation energy: 0.0058 eV per atom
relative energy among the computed polymorphs: 0.145 eV per atom
DOS at the Fermi energy: 2.618 states/eV/f.u.
ρ: 4.42 g/cm³